Compound: MgNiP2O7
Source: Alexandria
Functional: GGA+U
Structure: relaxed

The volume comes out at 11.2 Å³/atom. The calculation puts the spin magnetization at 8.08 μB per cell. The value obtained for the energy above the lowest structure with this stoichiometry is 0.0 meV per atom. The total energy comes out at -6.719 eV/atom.

Cell lengths 7.013, 8.384, 8.990 Å; angles 90.00, 111.81, 90.00 degrees
Atoms (fractional coordinates):
Mg: 0.126 0.057 0.820
Mg: 0.374 0.557 0.680
Mg: 0.626 0.443 0.320
Mg: 0.874 0.943 0.180
Ni: 0.380 0.923 0.609
Ni: 0.620 0.077 0.391
Ni: 0.120 0.423 0.891
Ni: 0.880 0.577 0.109
P: 0.182 0.271 0.243
P: 0.438 0.774 0.966
P: 0.682 0.229 0.743
P: 0.938 0.726 0.466
P: 0.318 0.771 0.257
P: 0.062 0.274 0.534
P: 0.562 0.226 0.034
P: 0.818 0.729 0.757
O: 0.351 0.832 0.097
O: 0.573 0.386 0.689
O: 0.073 0.114 0.189
O: 0.348 0.611 0.898
O: 0.649 0.168 0.903
O: 0.404 0.907 0.379
O: 0.652 0.389 0.102
O: 0.364 0.909 0.842
O: 0.174 0.733 0.547
O: 0.596 0.093 0.621
O: 0.904 0.593 0.879
O: 0.917 0.236 0.799
O: 0.583 0.736 0.701
O: 0.851 0.668 0.597
O: 0.096 0.407 0.121
O: 0.927 0.886 0.811
O: 0.083 0.764 0.201
O: 0.636 0.091 0.158
O: 0.674 0.767 0.047
O: 0.326 0.233 0.953
O: 0.152 0.111 0.602
O: 0.864 0.591 0.342
O: 0.136 0.409 0.658
O: 0.427 0.614 0.311
O: 0.417 0.264 0.299
O: 0.848 0.889 0.398
O: 0.826 0.267 0.453
O: 0.149 0.332 0.403